# NdY2Er | Alexandria via LeMat-Bulk | PBE | optimized geometry
data_NdY2Er
_chemical_formula_sum 'Nd1 Y2 Er1'
_space_group_name_H-M_alt 'P 1'
_space_group_IT_number 1
_space_group_name_Hall 'P 1'
_cell_length_a 3.605
_cell_length_b 3.605
_cell_length_c 11.775
_cell_angle_alpha 81.19
_cell_angle_beta 81.19
_cell_angle_gamma 60.00
loop_
_atom_site_label
_atom_site_type_symbol
_atom_site_fract_x
_atom_site_fract_y
_atom_site_fract_z
Nd1 Nd 0.501 0.501 0.498
Er1 Er 0.666 0.666 0.001
Y1 Y 0.252 0.252 0.245
Y2 Y 0.082 0.082 0.755
# Space-group type: R3m, No. 160
# Energy of formation from the pure elements in kcal/mol of atoms: 0.44
# DFT total energy in eV for the cell shown: -22.2
# Energy relative to the lowest polymorph listed for this composition in meV per atom: 8.1

=====

# AgRh2Pb2 | Alexandria via LeMat-Bulk | PBE | optimized geometry
data_AgRh2Pb2
_chemical_formula_sum 'Ag2 Rh4 Pb4'
_space_group_name_H-M_alt 'P 1'
_space_group_IT_number 1
_space_group_name_Hall 'P 1'
_cell_length_a 7.507
_cell_length_b 7.507
_cell_length_c 3.484
_cell_angle_alpha 90.00
_cell_angle_beta 90.00
_cell_angle_gamma 90.00
loop_
_atom_site_label
_atom_site_type_symbol
_atom_site_fract_x
_atom_site_fract_y
_atom_site_fract_z
Rh1 Rh 0.639 0.139 0.000
Rh2 Rh 0.361 0.861 0.000
Rh3 Rh 0.139 0.361 0.000
Rh4 Rh 0.861 0.639 0.000
Pb1 Pb 0.162 0.662 0.500
Pb2 Pb 0.338 0.162 0.500
Pb3 Pb 0.838 0.338 0.500
Pb4 Pb 0.662 0.838 0.500
Ag1 Ag 0.000 0.000 0.000
Ag2 Ag 0.500 0.500 0.000
# Space-group type: P4/mbm, No. 127
# Energy of formation from the pure elements in kcal/mol of atoms: 0.95
# DFT total energy in eV for the cell shown: -49.5
# Energy relative to the lowest polymorph listed for this composition in meV per atom: 0.0

=====

# MnRuC3 | Alexandria via LeMat-Bulk | PBE | optimized geometry
data_MnRuC3
_chemical_formula_sum 'Mn1 Ru1 C3'
_space_group_name_H-M_alt 'P 1'
_space_group_IT_number 1
_space_group_name_Hall 'P 1'
_cell_length_a 3.919
_cell_length_b 3.919
_cell_length_c 3.919
_cell_angle_alpha 90.00
_cell_angle_beta 90.00
_cell_angle_gamma 90.00
loop_
_atom_site_label
_atom_site_type_symbol
_atom_site_fract_x
_atom_site_fract_y
_atom_site_fract_z
C1 C 0.000 0.000 0.500
C2 C 0.000 0.500 0.000
C3 C 0.500 0.000 0.000
Ru1 Ru 0.000 0.000 0.000
Mn1 Mn 0.500 0.500 0.500
# Space-group type: Pm-3m, No. 221
# Energy of formation from the pure elements in kcal/mol of atoms: 57.43
# DFT total energy in eV for the cell shown: -33.7
# Energy relative to the lowest polymorph listed for this composition in meV per atom: 482.7

=====

# K3GaRh | Alexandria via LeMat-Bulk | PBE | optimized geometry
data_K3GaRh
_chemical_formula_sum 'K3 Ga1 Rh1'
_space_group_name_H-M_alt 'P 1'
_space_group_IT_number 1
_space_group_name_Hall 'P 1'
_cell_length_a 5.909
_cell_length_b 5.909
_cell_length_c 5.909
_cell_angle_alpha 90.00
_cell_angle_beta 90.00
_cell_angle_gamma 90.00
loop_
_atom_site_label
_atom_site_type_symbol
_atom_site_fract_x
_atom_site_fract_y
_atom_site_fract_z
Rh1 Rh 0.000 0.000 0.000
Ga1 Ga 0.500 0.500 0.500
K1 K 0.500 0.000 0.000
K2 K 0.000 0.500 0.000
K3 K 0.000 0.000 0.500
# Space-group type: Pm-3m, No. 221
# Energy of formation from the pure elements in kcal/mol of atoms: 15.43
# DFT total energy in eV for the cell shown: -10.3
# Energy relative to the lowest polymorph listed for this composition in meV per atom: 0.0

=====

# TmThPb2 | Alexandria via LeMat-Bulk | PBE | optimized geometry
data_TmThPb2
_chemical_formula_sum 'Tm1 Th1 Pb2'
_space_group_name_H-M_alt 'P 1'
_space_group_IT_number 1
_space_group_name_Hall 'P 1'
_cell_length_a 5.489
_cell_length_b 5.489
_cell_length_c 5.489
_cell_angle_alpha 60.00
_cell_angle_beta 60.00
_cell_angle_gamma 60.00
loop_
_atom_site_label
_atom_site_type_symbol
_atom_site_fract_x
_atom_site_fract_y
_atom_site_fract_z
Pb1 Pb 0.750 0.750 0.750
Pb2 Pb 0.250 0.250 0.250
Th1 Th 0.500 0.500 0.500
Tm1 Tm 0.000 0.000 0.000
# Space-group type: Fm-3m, No. 225
# Energy of formation from the pure elements in kcal/mol of atoms: -5.30
# DFT total energy in eV for the cell shown: -20.2
# Energy relative to the lowest polymorph listed for this composition in meV per atom: 89.3

=====

# CeNi2Pt5 | Alexandria via LeMat-Bulk | PBE | optimized geometry
data_CeNi2Pt5
_chemical_formula_sum 'Ce1 Ni2 Pt5'
_space_group_name_H-M_alt 'P 1'
_space_group_IT_number 1
_space_group_name_Hall 'P 1'
_cell_length_a 3.800
_cell_length_b 6.242
_cell_length_c 6.242
_cell_angle_alpha 75.36
_cell_angle_beta 72.28
_cell_angle_gamma 72.28
loop_
_atom_site_label
_atom_site_type_symbol
_atom_site_fract_x
_atom_site_fract_y
_atom_site_fract_z
Ce1 Ce 0.000 0.000 0.000
Pt1 Pt 0.000 0.500 0.500
Pt2 Pt 0.347 0.469 0.838
Pt3 Pt 0.653 0.162 0.531
Pt4 Pt 0.347 0.838 0.469
Pt5 Pt 0.653 0.531 0.162
Ni1 Ni 0.717 0.783 0.783
Ni2 Ni 0.283 0.217 0.217
# Space-group type: Immm, No. 71
# Energy of formation from the pure elements in kcal/mol of atoms: -9.07
# DFT total energy in eV for the cell shown: -50.8

=====

# LiPrMgCl6 | Alexandria via LeMat-Bulk | PBE | optimized geometry
data_LiPrMgCl6
_chemical_formula_sum 'Li2 Pr2 Mg2 Cl12'
_space_group_name_H-M_alt 'P 1'
_space_group_IT_number 1
_space_group_name_Hall 'P 1'
_cell_length_a 6.725
_cell_length_b 6.725
_cell_length_c 11.846
_cell_angle_alpha 90.00
_cell_angle_beta 90.00
_cell_angle_gamma 120.00
loop_
_atom_site_label
_atom_site_type_symbol
_atom_site_fract_x
_atom_site_fract_y
_atom_site_fract_z
Cl1 Cl 0.326 0.354 0.873
Cl2 Cl 0.354 0.028 0.127
Cl3 Cl 0.354 0.326 0.373
Cl4 Cl 0.674 0.646 0.127
Cl5 Cl 0.326 0.972 0.627
Cl6 Cl 0.674 0.028 0.373
Cl7 Cl 0.646 0.674 0.627
Cl8 Cl 0.028 0.354 0.627
Cl9 Cl 0.646 0.972 0.873
Cl10 Cl 0.972 0.326 0.127
Cl11 Cl 0.028 0.674 0.873
Cl12 Cl 0.972 0.646 0.373
Mg1 Mg 0.667 0.333 0.250
Mg2 Mg 0.333 0.667 0.750
Li1 Li 0.000 0.000 0.500
Li2 Li 0.000 0.000 0.000
Pr1 Pr 0.333 0.667 0.250
Pr2 Pr 0.667 0.333 0.750
# Space-group type: P-31c, No. 163
# ΔE_f (raw) in meV per atom: -1980
# DFT total energy in eV for the cell shown: -74.4

=====

# LaPmTlCd | Alexandria via LeMat-Bulk | PBE | optimized geometry
data_LaPmTlCd
_chemical_formula_sum 'La1 Pm1 Tl1 Cd1'
_space_group_name_H-M_alt 'P 1'
_space_group_IT_number 1
_space_group_name_Hall 'P 1'
_cell_length_a 5.535
_cell_length_b 5.535
_cell_length_c 5.535
_cell_angle_alpha 60.00
_cell_angle_beta 60.00
_cell_angle_gamma 60.00
loop_
_atom_site_label
_atom_site_type_symbol
_atom_site_fract_x
_atom_site_fract_y
_atom_site_fract_z
Tl1 Tl 0.500 0.500 0.500
Pm1 Pm 0.250 0.250 0.250
La1 La 0.750 0.750 0.750
Cd1 Cd 0.000 0.000 0.000
# Space-group type: F-43m, No. 216
# Energy of formation from the pure elements in kcal/mol of atoms: -8.55
# DFT total energy in eV for the cell shown: -14.4

=====

# Rb2SnTe | Alexandria via LeMat-Bulk | PBE | optimized geometry
data_Rb2SnTe
_chemical_formula_sum 'Rb4 Sn2 Te2'
_space_group_name_H-M_alt 'P 1'
_space_group_IT_number 1
_space_group_name_Hall 'P 1'
_cell_length_a 10.295
_cell_length_b 10.295
_cell_length_c 8.043
_cell_angle_alpha 50.21
_cell_angle_beta 50.21
_cell_angle_gamma 90.00
loop_
_atom_site_label
_atom_site_type_symbol
_atom_site_fract_x
_atom_site_fract_y
_atom_site_fract_z
Rb1 Rb 0.875 0.906 0.750
Rb2 Rb 0.656 0.125 0.250
Rb3 Rb 0.375 0.344 0.750
Rb4 Rb 0.094 0.625 0.250
Te1 Te 0.000 0.000 0.000
Te2 Te 0.750 0.250 0.500
Sn1 Sn 0.500 0.500 0.000
Sn2 Sn 0.250 0.750 0.500
# Space-group type: I-42d, No. 122
# ΔE_f (raw) in meV per atom: -229
# DFT total energy in eV for the cell shown: -20.0
# Energy relative to the lowest polymorph listed for this composition in meV per atom: 95.0

=====

# MgReOsS2 | Alexandria via LeMat-Bulk | PBE | optimized geometry
data_MgReOsS2
_chemical_formula_sum 'Mg1 Re1 Os1 S2'
_space_group_name_H-M_alt 'P 1'
_space_group_IT_number 1
_space_group_name_Hall 'P 1'
_cell_length_a 4.588
_cell_length_b 4.904
_cell_length_c 4.588
_cell_angle_alpha 90.00
_cell_angle_beta 90.00
_cell_angle_gamma 90.00
loop_
_atom_site_label
_atom_site_type_symbol
_atom_site_fract_x
_atom_site_fract_y
_atom_site_fract_z
S1 S 0.500 0.000 0.000
S2 S 0.000 0.000 0.500
Os1 Os 0.000 0.000 0.000
Re1 Re 0.000 0.500 0.000
Mg1 Mg 0.500 0.500 0.500
# Space-group type: P4/mmm, No. 123
# ΔE_f (raw) in meV per atom: 1017
# DFT total energy in eV for the cell shown: -28.4